Cr3AgBi: PBEsol geometry, meta-GGA SCAN.

The value obtained for the electronic total energy is -32.0748 eV/atom.

Lattice parameters (Å, degrees): 4.9078 4.9078 4.9078 90.00 90.00 90.00
With the nearest neighbours (Å) after each atom.
Space group Pm-3m (No. 221)
Unique sites:
Cr1 0.0000 0.0000 0.5000  2 Ag 2.45
Ag1 0.0000 0.0000 0.0000  6 Cr 2.45
Bi1 0.5000 0.5000 0.5000  12 Cr 3.47

***

Cr4AgBiO14: PBEsol geometry, meta-GGA SCAN.

The value obtained for the electronic total energy is -15.1470 eV/atom. The formation energy without anion corrections is -1.6109 eV/atom.

Lattice parameters (Å, degrees): 8.5109 8.5109 8.0043 90.00 90.00 90.00
With the nearest neighbours (Å) after each atom.
Space group I4 (No. 79)
Unique sites:
Cr1 0.1220 0.3373 0.0000  4 O 1.60-1.73
Ag1 0.0000 0.0000 0.7244  4 O 2.32
Bi1 0.0000 0.0000 0.3039  8 O 2.39-2.41
O1 0.0000 0.5000 0.0101  2 Cr 1.73
O2 0.0808 0.2376 0.8361  1 Cr 1.60
O3 0.0950 0.2300 0.1665  1 Cr 1.63
O4 0.1024 0.8047 0.4928  1 Cr 1.64

***

Ta2CrAgBi: PBEsol geometry, meta-GGA SCAN.

The value obtained for the electronic total energy is -51.1790 eV/atom.

Lattice parameters (Å, degrees): 4.5312 4.5312 5.0095 90.00 90.00 90.00
With the nearest neighbours (Å) after each atom.
Space group P4/mmm (No. 123)
Unique sites:
Ta1 0.0000 0.5000 0.0000  2 Cr 2.27
Cr1 0.0000 0.0000 0.0000  4 Ta 2.27, 2 Ag 2.50
Ag1 0.0000 0.0000 0.5000  2 Cr 2.50
Bi1 0.5000 0.5000 0.5000  4 Ag 3.20, 8 Ta 3.38

***

| no. | Fermi-level density of states (states/eV/cell) |
| --- | --- |
| 1 | 2.80 |
| 2 | 0.00 |
| 3 | 4.44 |